(1)
This record from Alexandria describes a relaxed structure of Sr3LiC. The functional is PBE-GGA.

## Properties
Raw total energy (eV per atom): -2.9093
Calculated formation energy (eV/atom): 0.33
Distance to the lowest polymorph of the same formula (eV per atom): 0.000
Space-group type: Pm-3m, No. 221
Crystal system: cubic

Cell: 5.558 5.558 5.558 Å, 90.00 90.00 90.00°
Fractional coordinates of all 5 atoms:
Sr (0.000, 0.000, 0.500)
Sr (0.000, 0.500, 0.000)
Sr (0.500, 0.000, 0.000)
Li (0.500, 0.500, 0.500)
C (0.000, 0.000, 0.000)

***

(2)
This record from Alexandria describes a relaxed structure of SrLi2C2. The functional is PBE-GGA.

## Properties
Raw total energy (eV per atom): -4.5277
Calculated formation energy (eV/atom): 0.26
Distance to the lowest polymorph of the same formula (eV per atom): 0.096
Space-group type: I4/mmm, No. 139
Crystal system: tetragonal

Cell: 5.092 5.092 5.092 Å, 135.30 135.30 65.07°
Fractional coordinates of all 5 atoms:
Sr (0.000, 0.000, 0.000)
Li (0.250, 0.750, 0.500)
Li (0.750, 0.250, 0.500)
C (0.418, 0.418, 0.000)
C (0.582, 0.582, 0.000)

***

(3)
This record from Alexandria describes a relaxed structure of SrLiC2. The functional is PBE-GGA.

## Properties
Raw total energy (eV per atom): -4.4201
Calculated formation energy (eV/atom): 1.09
Distance to the lowest polymorph of the same formula (eV per atom): 0.000
Space-group type: I4_1/amd, No. 141
Crystal system: tetragonal

Cell: 7.655 7.655 7.655 Å, 150.47 150.47 42.26°
Fractional coordinates of all 8 atoms:
Sr (0.375, 0.625, 0.750)
Sr (0.625, 0.375, 0.250)
Li (0.125, 0.875, 0.250)
Li (0.875, 0.125, 0.750)
C (0.000, 0.000, 0.000)
C (0.000, 0.000, 0.500)
C (0.000, 0.500, 0.000)
C (0.500, 0.000, 0.500)

***

(4)
This record from Alexandria describes a relaxed structure of Sr2LiC. The functional is PBE-GGA.

## Properties
Raw total energy (eV per atom): -2.9612
Calculated formation energy (eV/atom): 0.66
Space-group type: I-42d, No. 122
Crystal system: tetragonal

Cell: 6.943 6.943 6.943 Å, 106.14 106.14 116.35°
Fractional coordinates of all 8 atoms:
Sr (0.022, 0.625, 0.897)
Sr (0.375, 0.272, 0.397)
Sr (0.728, 0.125, 0.103)
Sr (0.875, 0.978, 0.603)
Li (0.250, 0.750, 0.500)
Li (0.500, 0.500, 0.000)
C (0.000, 0.000, 0.000)
C (0.750, 0.250, 0.500)

***

(5)
This record from Alexandria describes a relaxed structure of SrLiC. The functional is PBE-GGA.

## Properties
Raw total energy (eV per atom): -4.0643
Calculated formation energy (eV/atom): 0.21
Space-group type: Immm, No. 71
Crystal system: orthorhombic

Cell: 6.565 6.565 6.565 Å, 148.20 105.95 82.84°
Fractional coordinates of all 6 atoms:
Sr (0.228, 0.228, 0.000)
Sr (0.772, 0.772, 0.000)
Li (0.283, 0.000, 0.283)
Li (0.717, 0.000, 0.717)
C (0.082, 0.500, 0.582)
C (0.918, 0.500, 0.418)

***

(6)
This record from Alexandria describes a relaxed structure of SrLi2C2. The functional is PBE-GGA.

## Properties
Raw total energy (eV per atom): -4.6233
Calculated formation energy (eV/atom): 0.17
Distance to the lowest polymorph of the same formula (eV per atom): 0.000
Space-group type: P4/mbm, No. 127
Crystal system: tetragonal

Cell: 6.398 6.398 4.128 Å, 90.00 90.00 90.00°
Fractional coordinates of all 10 atoms:
Sr (0.000, 0.000, 0.000)
Sr (0.500, 0.500, 0.000)
Li (0.129, 0.371, 0.500)
Li (0.371, 0.871, 0.500)
Li (0.629, 0.129, 0.500)
Li (0.871, 0.629, 0.500)
C (0.072, 0.572, 0.000)
C (0.428, 0.072, 0.000)
C (0.572, 0.928, 0.000)
C (0.928, 0.428, 0.000)

***

(7)
This record from Alexandria describes a relaxed structure of SrLiC2. The functional is PBE-GGA.

## Properties
Raw total energy (eV per atom): -3.9577
Calculated formation energy (eV/atom): 1.55
Distance to the lowest polymorph of the same formula (eV per atom): 0.462
Space-group type: Fm-3m, No. 225
Crystal system: cubic

Cell: 4.355 4.355 4.355 Å, 60.00 60.00 60.00°
Fractional coordinates of all 4 atoms:
Sr (0.000, 0.000, 0.000)
Li (0.500, 0.500, 0.500)
C (0.250, 0.250, 0.250)
C (0.750, 0.750, 0.750)

***

(8)
This record from Alexandria describes a relaxed structure of SrLiZnC2. The functional is PBE-GGA.

## Properties
Raw total energy (eV per atom): -3.2159
Calculated formation energy (eV/atom): 1.45
Space-group type: P4/mmm, No. 123
Crystal system: tetragonal

Cell: 4.226 4.226 4.203 Å, 90.00 90.00 90.00°
Fractional coordinates of all 5 atoms:
Sr (0.000, 0.000, 0.000)
Li (0.500, 0.500, 0.500)
Zn (0.500, 0.500, 0.000)
C (0.000, 0.500, 0.500)
C (0.500, 0.000, 0.500)

***

(9)
This record from Alexandria describes a relaxed structure of LiTaC3. The functional is PBE-GGA.

## Properties
Raw total energy (eV per atom): -6.7796
Calculated formation energy (eV/atom): 1.51
Distance to the lowest polymorph of the same formula (eV per atom): 0.000
Space-group type: Pm-3m, No. 221
Crystal system: cubic

Cell: 4.197 4.197 4.197 Å, 90.00 90.00 90.00°
Fractional coordinates of all 5 atoms:
Li (0.000, 0.000, 0.000)
Ta (0.500, 0.500, 0.500)
C (0.000, 0.500, 0.500)
C (0.500, 0.000, 0.500)
C (0.500, 0.500, 0.000)

***

(10)
This record from Alexandria describes a relaxed structure of LiTa2C. The functional is PBE-GGA.

## Properties
Raw total energy (eV per atom): -8.2806
Calculated formation energy (eV/atom): 0.43
Space-group type: I-42d, No. 122
Crystal system: tetragonal

Cell: 5.374 5.374 5.374 Å, 103.86 103.86 121.40°
Fractional coordinates of all 8 atoms:
Li (0.000, 0.000, 0.000)
Li (0.750, 0.250, 0.500)
Ta (0.196, 0.625, 0.071)
Ta (0.375, 0.446, 0.571)
Ta (0.554, 0.125, 0.929)
Ta (0.875, 0.804, 0.429)
C (0.250, 0.750, 0.500)
C (0.500, 0.500, 0.000)

***

(11)
This record from Alexandria describes a relaxed structure of Li2TaC. The functional is PBE-GGA.

## Properties
Raw total energy (eV per atom): -5.5773
Calculated formation energy (eV/atom): 0.65
Space-group type: I-42d, No. 122
Crystal system: tetragonal

Cell: 5.349 5.349 5.349 Å, 99.26 99.26 132.70°
Fractional coordinates of all 8 atoms:
Li (0.040, 0.625, 0.915)
Li (0.375, 0.290, 0.415)
Li (0.710, 0.125, 0.085)
Li (0.875, 0.960, 0.585)
Ta (0.250, 0.750, 0.500)
Ta (0.500, 0.500, 0.000)
C (0.000, 0.000, 0.000)
C (0.750, 0.250, 0.500)

***

(12)
This record from Alexandria describes a relaxed structure of LiTaC3. The functional is PBE-GGA.

## Properties
Raw total energy (eV per atom): -6.2057
Calculated formation energy (eV/atom): 2.08
Distance to the lowest polymorph of the same formula (eV per atom): 0.574
Space-group type: Pm-3m, No. 221
Crystal system: cubic

Cell: 3.548 3.548 3.548 Å, 90.00 90.00 90.00°
Fractional coordinates of all 5 atoms:
Li (0.000, 0.000, 0.000)
Ta (0.500, 0.500, 0.500)
C (0.000, 0.000, 0.500)
C (0.000, 0.500, 0.000)
C (0.500, 0.000, 0.000)

***

no.,total magnetic moment (μB/cell)
1,0.24
2,0.00
3,0.00
4,0.00
5,0.00
6,0.00
7,0.00
8,0.00
9,0.00
10,0.00
11,0.00
12,0.00